(1)
Compound: B4Rh9Pb3
Source: Alexandria via LeMat-Bulk
Functional: PBE-GGA
Structure: optimized geometry

Structure (extended XYZ):
```
16
Lattice="2.889 1.668 8.112 -2.889 1.668 8.112 0.000 -3.336 8.112" Properties=species:S:1:pos:R:3 pbc="T T T"
B 0.000 0.000 4.088
B 0.000 0.000 6.821
B 0.000 0.000 17.515
B 0.000 0.000 20.248
Rh -1.361 -0.978 8.112
Rh -1.459 0.767 5.466
Rh 0.065 -1.647 5.466
Rh -1.459 -0.767 18.869
Rh -0.167 1.668 8.112
Rh -1.361 0.978 16.224
Rh 1.394 0.880 5.466
Rh 1.394 -0.880 18.869
Rh 0.065 1.647 18.869
Pb 0.000 0.000 0.000
Pb 0.000 0.000 10.494
Pb 0.000 0.000 13.842
```

Properties
Fermi-level density of states: 7.16 states/eV/cell
Space group: R32 (155)
ΔE_f: -217 meV per atom
Uncorrected energy: -6.72 eV/atom

(2)
Compound: Sn2GeP
Source: Alexandria via LeMat-Bulk
Functional: PBE-GGA
Structure: optimized geometry

Structure (extended XYZ):
```
8
Lattice="-3.107 3.107 6.236 3.107 -3.107 6.236 3.107 3.107 -6.236" Properties=species:S:1:pos:R:3 pbc="T T T"
Sn 4.660 1.506 -1.559
Sn 1.506 1.553 1.559
Sn -1.553 1.601 4.677
Sn 1.601 1.553 7.795
Ge 3.107 0.000 3.118
Ge 0.000 0.000 6.236
P 0.000 0.000 0.000
P 0.000 3.107 3.118
```

Properties
Fermi-level density of states: 3.77 states/eV/cell
Space group: I-42d (122)
Energy relative to the lowest polymorph listed for this composition: 0.000 eV per atom
ΔE_f: 135 meV per atom
Uncorrected energy: -4.37 eV/atom

(3)
Compound: ThPaPd
Source: Alexandria via LeMat-Bulk
Functional: PBE-GGA
Structure: optimized geometry

Structure (extended XYZ):
```
6
Lattice="3.479 0.000 0.000 1.699 5.206 0.000 0.023 1.953 7.934" Properties=species:S:1:pos:R:3 pbc="T T T"
Th 0.879 1.151 0.730
Th 4.322 6.008 7.204
Pa 0.866 1.964 4.496
Pa 4.336 5.195 3.438
Pd 2.601 3.262 2.045
Pd 2.600 3.897 5.890
```

Properties
Fermi-level density of states: 10.02 states/eV/cell
Space group: P-1 (2)
Energy relative to the lowest polymorph listed for this composition: 0.000 eV per atom
ΔE_f: -251 meV per atom
Uncorrected energy: -7.62 eV/atom

(4)
Compound: LaPu5Rh6
Source: Alexandria via LeMat-Bulk
Functional: PBE-GGA
Structure: optimized geometry

Structure (extended XYZ):
```
12
Lattice="-2.422 3.471 7.350 2.422 -3.471 7.350 2.422 3.471 -7.350" Properties=species:S:1:pos:R:3 pbc="T T T"
La 0.000 0.000 0.000
Pu 2.422 0.000 2.396
Pu 0.000 0.000 4.844
Pu 0.000 3.471 0.000
Pu 0.000 0.000 9.856
Pu 0.000 3.471 4.954
Rh 2.422 -1.679 4.779
Rh 2.422 1.902 0.000
Rh 0.000 1.792 2.571
Rh 2.422 1.679 4.779
Rh 0.000 1.569 7.350
Rh 0.000 5.150 2.571
```

Properties
Fermi-level density of states: 51.18 states/eV/cell
Space group: Immm (71)
ΔE_f: -413 meV per atom
Uncorrected energy: -10.47 eV/atom

(5)
Compound: CsK2BaCa
Source: Alexandria via LeMat-Bulk
Functional: PBE-GGA
Structure: optimized geometry

Structure (extended XYZ):
```
5
Lattice="7.636 0.000 0.000 0.000 7.636 0.000 0.000 0.000 7.680" Properties=species:S:1:pos:R:3 pbc="T T T"
Cs 0.000 0.000 0.000
K 0.000 3.818 3.840
K 3.818 0.000 3.840
Ba 3.818 3.818 0.000
Ca 3.818 3.818 3.840
```

Properties
Fermi-level density of states: 8.72 states/eV/cell
Space group: P4/mmm (123)
ΔE_f: 352 meV per atom
Uncorrected energy: -1.04 eV/atom

(6)
Compound: TcNiH
Source: Alexandria via LeMat-Bulk
Functional: PBE-GGA
Structure: optimized geometry

Structure (extended XYZ):
```
12
Lattice="4.910 0.000 0.000 0.000 4.196 0.000 0.000 0.000 5.443" Properties=species:S:1:pos:R:3 pbc="T T T"
Tc 0.408 1.049 0.668
Tc 2.046 3.147 3.389
Tc 2.863 1.049 2.053
Tc 4.501 3.147 4.775
Ni 0.464 1.049 3.226
Ni 1.991 3.147 0.505
Ni 2.919 1.049 4.938
Ni 4.446 3.147 2.217
H 1.098 3.147 1.812
H 1.357 1.049 4.533
H 3.553 3.147 0.910
H 3.812 1.049 3.631
```

Properties
Fermi-level density of states: 5.23 states/eV/cell
Space group: Pnma (62)
Energy relative to the lowest polymorph listed for this composition: 0.096 eV per atom
Uncorrected energy: -6.39 eV/atom

(7)
Compound: SiSb2Mo
Source: Alexandria via LeMat-Bulk
Functional: PBE-GGA
Structure: optimized geometry

Structure (extended XYZ):
```
4
Lattice="-1.846 2.521 4.234 1.846 -2.521 4.234 1.846 2.521 -4.234" Properties=species:S:1:pos:R:3 pbc="T T T"
Si 0.000 0.000 0.000
Sb 1.846 0.000 1.939
Sb 0.000 2.521 2.295
Mo 0.000 0.000 4.234
```

Properties
Fermi-level density of states: 3.10 states/eV/cell
Space group: Immm (71)
ΔE_f (raw): 545 meV per atom
Uncorrected energy: -5.58 eV/atom

(8)
Compound: Pr2TlPb
Source: Alexandria via LeMat-Bulk
Functional: PBE-GGA
Structure: optimized geometry

Structure (extended XYZ):
```
4
Lattice="5.215 0.000 0.000 0.000 5.215 0.000 0.000 0.000 4.499" Properties=species:S:1:pos:R:3 pbc="T T T"
Pr 0.000 2.607 0.000
Pr 2.607 0.000 0.000
Tl 0.000 0.000 2.250
Pb 2.607 2.607 2.250
```

Properties
Fermi-level density of states: 3.22 states/eV/cell
Space group: P4/mmm (123)
ΔE_f: -469 meV per atom
Uncorrected energy: -4.38 eV/atom

(9)
Compound: BaPtSe2
Source: Alexandria via LeMat-Bulk
Functional: PBE-GGA
Structure: optimized geometry

Structure (extended XYZ):
```
4
Lattice="5.853 -1.944 0.000 5.853 1.944 0.000 -4.327 0.000 5.656" Properties=species:S:1:pos:R:3 pbc="T T T"
Ba 0.000 0.000 0.000
Pt -0.823 0.000 3.847
Se 4.148 0.000 5.175
Se 6.091 0.000 2.656
```

Properties
Space group: Cm (8)
Energy relative to the lowest polymorph listed for this composition: 0.000 eV per atom
ΔE_f (raw): -1073 meV per atom
Uncorrected energy: -4.81 eV/atom

(10)
Compound: ZnCuAu2
Source: Alexandria via LeMat-Bulk
Functional: PBE-GGA
Structure: optimized geometry

Structure (extended XYZ):
```
8
Lattice="-3.552 3.552 2.725 3.552 -3.552 2.725 3.552 3.552 -2.725" Properties=species:S:1:pos:R:3 pbc="T T T"
Zn 0.000 0.000 0.000
Zn 0.000 3.552 1.362
Cu 3.552 0.000 1.362
Cu 0.000 0.000 2.725
Au 1.776 -1.765 2.044
Au 1.786 1.776 0.681
Au 1.776 5.317 -0.681
Au 1.765 1.776 3.406
```

Properties
Fermi-level density of states: 2.53 states/eV/cell
Space group: I-42d (122)
ΔE_f: 55 meV per atom
Uncorrected energy: -2.93 eV/atom

(11)
Compound: Tl2Bi2Te
Source: Alexandria via LeMat-Bulk
Functional: PBE-GGA
Structure: optimized geometry

Structure (extended XYZ):
```
5
Lattice="-2.239 2.239 8.175 2.239 -2.239 8.175 2.239 2.239 -8.175" Properties=species:S:1:pos:R:3 pbc="T T T"
Tl 2.239 0.000 4.087
Tl 0.000 2.239 4.087
Bi 0.000 0.000 1.572
Bi 0.000 0.000 14.778
Te 0.000 0.000 8.175
```

Properties
Fermi-level density of states: 4.18 states/eV/cell
Space group: I4/mmm (139)
Energy relative to the lowest polymorph listed for this composition: 0.157 eV per atom
ΔE_f (raw): 158 meV per atom
Uncorrected energy: -2.97 eV/atom

(12)
Compound: Y2InW
Source: Alexandria via LeMat-Bulk
Functional: PBE-GGA
Structure: optimized geometry

Structure (extended XYZ):
```
4
Lattice="3.203 0.000 0.000 0.000 3.203 0.000 0.000 0.000 9.369" Properties=species:S:1:pos:R:3 pbc="T T T"
Y 0.000 0.000 2.138
Y 0.000 0.000 7.230
In 1.601 1.601 4.684
W 1.601 1.601 0.000
```

Properties
Fermi-level density of states: 3.52 states/eV/cell
Space group: P4/mmm (123)
ΔE_f: 160 meV per atom
Uncorrected energy: -6.99 eV/atom